Ta3Ir3Ru: relaxed, GGA-PBE.

**ΔH_f (0 K)**: -0.298 eV/atom
**Calculated total energy**: -10.500 eV per atom
**Calculated volume**: 117 Å³/f.u.
**Space group**: P2_13 (198)

```
data_Ta3Ir3Ru
_chemical_formula_sum 'Ta12 Ir12 Ru4'
_space_group_name_H-M_alt 'P 1'
_space_group_IT_number 1
_space_group_name_Hall 'P 1'
_cell_length_a 7.7558
_cell_length_b 7.7558
_cell_length_c 7.7558
_cell_angle_alpha 90.00
_cell_angle_beta 90.00
_cell_angle_gamma 90.00
loop_
_atom_site_label
_atom_site_type_symbol
_atom_site_fract_x
_atom_site_fract_y
_atom_site_fract_z
Ta1 Ta 0.8122 0.6311 0.9651
Ta2 Ta 0.8689 0.0349 0.3122
Ta3 Ta 0.9651 0.8122 0.6311
Ta4 Ta 0.1311 0.5349 0.1878
Ta5 Ta 0.1878 0.1311 0.5349
Ta6 Ta 0.3122 0.8689 0.0349
Ta7 Ta 0.0349 0.3122 0.8689
Ta8 Ta 0.3689 0.4651 0.6878
Ta9 Ta 0.5349 0.1878 0.1311
Ta10 Ta 0.6311 0.9651 0.8122
Ta11 Ta 0.6878 0.3689 0.4651
Ta12 Ta 0.4651 0.6878 0.3689
Ir1 Ir 0.8389 0.3389 0.1611
Ir2 Ir 0.9602 0.9602 0.9602
Ir3 Ir 0.8356 0.6644 0.3356
Ir4 Ir 0.1611 0.8389 0.3389
Ir5 Ir 0.1644 0.1644 0.1644
Ir6 Ir 0.3356 0.8356 0.6644
Ir7 Ir 0.0398 0.4602 0.5398
Ir8 Ir 0.3389 0.1611 0.8389
Ir9 Ir 0.6644 0.3356 0.8356
Ir10 Ir 0.6611 0.6611 0.6611
Ir11 Ir 0.5398 0.0398 0.4602
Ir12 Ir 0.4602 0.5398 0.0398
Ru1 Ru 0.1323 0.6323 0.8677
Ru2 Ru 0.8677 0.1323 0.6323
Ru3 Ru 0.3677 0.3677 0.3677
Ru4 Ru 0.6323 0.8677 0.1323
```